Computed, not measured: crystalline LaY2Ag3 at its relaxed geometry at the GGA-PBE level of DFT.

abc: 3.669 3.669 11.304
angles: 90.00 90.00 90.00
Atoms (fractional coordinates):
La: 0.000 0.000 0.000
Y: 0.000 0.000 0.339
Y: 0.000 0.000 0.661
Ag: 0.500 0.500 0.186
Ag: 0.500 0.500 0.500
Ag: 0.500 0.500 0.814

Summary:
V: 152 Å³/f.u.
total energy: -4.71 eV/atom
crystal system: tetragonal
ΔH_f (0 K): -0.308 eV per atom
space-group type: P4/mmm, No. 123